Below is a relaxed structure of DyLuIn2Pt4, with properties calculated at the GGA-PBE level.

```
DyLuIn2Pt4
1.0
4.565 0.000 0.000
-2.282 3.953 0.000
0.000 0.000 8.966
Dy Lu In Pt
1 1 2 4
Direct
0.000 0.000 0.000 Dy
0.667 0.333 0.500 Lu
0.333 0.667 0.251 In
0.333 0.667 0.749 In
0.000 0.000 0.345 Pt
0.000 0.000 0.655 Pt
0.667 0.333 0.160 Pt
0.667 0.333 0.840 Pt
```

- total energy (eV/atom) = -5.82